YSe4Cl after structural relaxation. Source: Alexandria via LeMat-Bulk, functional PBE.

Geometry as CIF:
```
data_YSe4Cl
_chemical_formula_sum 'Y4 Se16 Cl4'
_space_group_name_H-M_alt 'F -4 3 m'
_space_group_IT_number 216
_space_group_name_Hall 'F -4 2 3'
_cell_length_a 8.083
_cell_length_b 8.083
_cell_length_c 8.083
_cell_angle_alpha 90.00
_cell_angle_beta 90.00
_cell_angle_gamma 90.00
loop_
_atom_site_label
_atom_site_type_symbol
_atom_site_fract_x
_atom_site_fract_y
_atom_site_fract_z
Y1 Y 0.000 0.000 0.000
Se1 Se 0.125 0.125 0.375
Cl1 Cl 0.250 0.250 0.750
```

Output
For the formation energy without anion corrections, the calculation gives -0.412 eV per atom. The calculation puts the density of states at the Fermi level at 0.7 states/eV/f.u.

=====

Ca2PrHo after structural relaxation. Source: Alexandria via LeMat-Bulk, functional PBE.

Geometry as CIF:
```
data_Ca2PrHo
_chemical_formula_sum 'Ca2 Pr1 Ho1'
_space_group_name_H-M_alt 'P 4/m m m'
_space_group_IT_number 123
_space_group_name_Hall '-P 4 2'
_cell_length_a 4.164
_cell_length_b 4.164
_cell_length_c 8.419
_cell_angle_alpha 90.00
_cell_angle_beta 90.00
_cell_angle_gamma 90.00
loop_
_atom_site_label
_atom_site_type_symbol
_atom_site_fract_x
_atom_site_fract_y
_atom_site_fract_z
Ca1 Ca 0.000 0.000 0.242
Pr1 Pr 0.500 0.500 0.500
Ho1 Ho 0.500 0.500 0.000
```

Output
As for the formation energy: 0.151 eV/atom. The calculation puts the density of states at the Fermi level at 5.9 states/eV/f.u. The calculation puts the distance to the lowest polymorph of the same formula at 44 meV/atom.